1.
MgTlCd2: relaxed, PBE-GGA.

Computed properties:
Energy above the lowest structure with this stoichiometry (meV/atom): 11
Symmetry: Immm, No. 71
E_form (meV per atom): -8.5

Cell: 5.761 5.761 5.761 Å, 134.45 134.21 66.57°
Positions (direct):
Mg  0.000  0.000  0.000
Tl  0.500  0.500  0.000
Cd  0.249  0.749  0.500
Cd  0.751  0.251  0.500

=====

2.
Mg8Tl2Cd: relaxed, PBE-GGA.

Computed properties:
Energy above the lowest structure with this stoichiometry (meV/atom): 0
Symmetry: C2/m, No. 12
E_form (meV per atom): -34.0

Cell: 8.461 8.461 7.224 Å, 106.51 106.51 31.05°
Positions (direct):
Mg  0.041  0.041  0.232
Mg  0.139  0.139  0.685
Mg  0.323  0.323  0.586
Mg  0.410  0.410  0.050
Mg  0.590  0.590  0.950
Mg  0.677  0.677  0.414
Mg  0.861  0.861  0.315
Mg  0.959  0.959  0.768
Tl  0.219  0.219  0.150
Tl  0.781  0.781  0.850
Cd  0.500  0.500  0.500

=====

3.
MgTlCd: relaxed, PBE-GGA.

Computed properties:
Energy above the lowest structure with this stoichiometry (meV/atom): 23
Symmetry: P3m1, No. 156
E_form (meV per atom): 14.2

Cell: 5.130 5.130 3.296 Å, 90.00 90.00 120.00°
Positions (direct):
Mg  0.000  0.000  0.000
Tl  0.667  0.333  0.376
Cd  0.333  0.667  0.670

=====

4.
Mg3Tl5Cd: relaxed, PBE-GGA.

Computed properties:
Symmetry: C2/m, No. 12
E_form (meV per atom): 103.4

Cell: 7.641 7.641 9.800 Å, 102.35 102.35 92.40°
Positions (direct):
Mg  0.000  0.000  0.000
Mg  0.001  0.001  0.671
Mg  0.497  0.497  0.824
Mg  0.500  0.500  0.500
Mg  0.503  0.503  0.176
Mg  0.999  0.999  0.329
Tl  0.180  0.658  0.318
Tl  0.248  0.248  0.574
Tl  0.251  0.251  0.926
Tl  0.263  0.737  0.000
Tl  0.342  0.820  0.682
Tl  0.658  0.180  0.318
Tl  0.737  0.263  0.000
Tl  0.749  0.749  0.074
Tl  0.752  0.752  0.426
Tl  0.820  0.342  0.682
Cd  0.242  0.242  0.247
Cd  0.758  0.758  0.753

=====

DOS at the Fermi energy for every record listed, in sequence, given in states/eV per atom: 0.295 0.431 0.198 0.573.
Raw total energy for every record listed, in sequence, given in Ha/atom: -0.0535 -0.0627 -0.0592 -0.0678.
M_tot for every record listed, in sequence, given in μB per atom: 0.000 0.000 0.000 0.000.